# 1
The following is a DFT calculation (PBE) of a relaxed BaLi2Mg3 crystal.

Unit cell a=4.8797 b=10.9728 c=10.9728 alpha=120.00 beta=90.00 gamma=90.00
With the nearest neighbours (Å) after each atom.
Fractional positions:
Mg (0.5000, 0.5000, 0.0000)  4 Li 3.01, 4 Mg 3.26
Mg (0.5000, 0.5000, 0.5000)  4 Li 3.01, 4 Mg 3.26
Mg (0.0000, 0.6975, 0.0000)  4 Li 3.02, 4 Mg 3.26-3.32
Mg (0.0000, 0.3025, 0.3025)  4 Li 3.02, 4 Mg 3.26-3.32
Mg (0.0000, 0.0000, 0.6975)  4 Li 3.02, 4 Mg 3.26-3.32
Mg (0.0000, 0.3025, 0.0000)  4 Li 3.02, 4 Mg 3.26-3.32
Mg (0.0000, 0.0000, 0.3025)  4 Li 3.02, 4 Mg 3.26-3.32
Mg (0.0000, 0.6975, 0.6975)  4 Li 3.02, 4 Mg 3.26-3.32
Mg (0.5000, 0.0000, 0.5000)  4 Li 3.01, 4 Mg 3.26
Li (0.5000, 0.3709, 0.1854)  6 Mg 3.01-3.02
Li (0.5000, 0.1854, 0.8146)  6 Mg 3.01-3.02
Li (0.5000, 0.1854, 0.3709)  6 Mg 3.01-3.02
Li (0.5000, 0.8146, 0.1854)  6 Mg 3.01-3.02
Li (0.5000, 0.8146, 0.6291)  6 Mg 3.01-3.02
Li (0.5000, 0.6291, 0.8146)  6 Mg 3.01-3.02
Ba (0.0000, 0.6667, 0.3333)  6 Li 3.72, 12 Mg 3.84-4.00
Ba (0.0000, 0.3333, 0.6667)  6 Li 3.72, 12 Mg 3.84-4.00
Ba (0.5000, 0.0000, 0.0000)  6 Li 3.52

- DOS(E_F): 3.93 states/eV/f.u.
- Total magnetization: 0.000 μB/atom
- DFT formation energy: -0.038 eV per atom

---

# 2
The following is a DFT calculation (PBE) of a relaxed Ba4LiMg crystal.

Unit cell a=4.4253 b=4.4253 c=15.2252 alpha=90.00 beta=90.00 gamma=90.00
With the nearest neighbours (Å) after each atom.
Fractional positions:
Li (0.0000, 0.0000, 0.0000)  8 Ba 3.79
Ba (0.0000, 0.0000, 0.6365)  4 Mg 3.76, 1 Ba 4.16
Ba (0.0000, 0.0000, 0.3635)  4 Mg 3.76, 1 Ba 4.16
Ba (0.5000, 0.5000, 0.1407)  4 Li 3.79
Ba (0.5000, 0.5000, 0.8593)  4 Li 3.79
Mg (0.5000, 0.5000, 0.5000)  8 Ba 3.76

- DOS(E_F): 8.34 states/eV/f.u.
- Total magnetization: 0.000 μB/atom
- DFT formation energy: 0.000 eV per atom

---

# 3
The following is a DFT calculation (PBE) of a relaxed Ba3LiMg crystal.

Unit cell a=6.2007 b=6.1960 c=12.5938 alpha=90.00 beta=75.75 gamma=90.00
With the nearest neighbours (Å) after each atom.
Fractional positions:
Li (0.4835, 0.7500, 0.6814)  8 Ba 3.78-3.81
Li (0.1649, 0.2500, 0.3186)  8 Ba 3.78-3.81
Ba (0.3950, 0.2500, 0.8583)  2 Mg 3.76, 2 Li 3.78
Ba (0.7543, 0.2500, 0.1397)  2 Mg 3.78, 2 Li 3.79
Ba (0.8940, 0.7500, 0.8603)  2 Mg 3.78, 2 Li 3.79
Ba (0.5746, 0.2500, 0.4992)  4 Li 3.80-3.81, 4 Mg 3.82-3.83
Ba (0.0738, 0.7500, 0.5008)  4 Li 3.80-3.81, 4 Mg 3.82-3.83
Ba (0.2533, 0.7500, 0.1417)  2 Mg 3.76, 2 Li 3.78
Mg (0.6659, 0.7500, 0.3165)  8 Ba 3.76-3.83
Mg (0.9824, 0.2500, 0.6835)  8 Ba 3.76-3.83

- DOS(E_F): 7.61 states/eV/f.u.
- Total magnetization: 0.000 μB/atom
- DFT formation energy: 0.002 eV per atom

---

# 4
The following is a DFT calculation (PBE) of a relaxed Ba2LiMg crystal.

Unit cell a=7.0273 b=7.0273 c=6.3659 alpha=71.39 beta=71.39 gamma=33.87
With the nearest neighbours (Å) after each atom.
Fractional positions:
Ba (0.9725, 0.9725, 0.0598)  4 Li 3.80-3.95, 3 Mg 3.83-3.84, 4 Ba 4.06-4.09
Ba (0.7719, 0.7719, 0.6980)  3 Li 3.76-3.95, 4 Mg 3.81-3.89, 4 Ba 4.06-4.09
Li (0.5387, 0.5387, 0.4982)  2 Mg 3.16
Mg (0.2169, 0.2169, 0.2441)  2 Li 3.16

- DOS(E_F): 4.21 states/eV/f.u.
- Total magnetization: 0.000 μB/atom
- DFT formation energy: 0.021 eV per atom

---

# 5
The following is a DFT calculation (PBE) of a relaxed BaLi4Mg8 crystal.

Unit cell a=5.5555 b=8.0576 c=8.0576 alpha=83.17 beta=69.83 gamma=69.83
With the nearest neighbours (Å) after each atom.
Fractional positions:
Mg (0.7245, 0.7755, 0.7755)  4 Li 3.03, 4 Mg 3.13-3.31
Mg (0.0000, 0.3591, 0.6409)  5 Mg 3.01-3.31, 4 Li 3.23
Mg (0.5000, 0.7755, 0.2245)  4 Li 3.03, 4 Mg 3.13-3.31
Mg (0.0000, 0.6409, 0.3591)  5 Mg 3.01-3.31, 4 Li 3.23
Mg (0.2755, 0.2245, 0.2245)  4 Li 3.03, 4 Mg 3.13-3.31
Mg (0.5000, 0.2245, 0.7755)  4 Li 3.03, 4 Mg 3.13-3.31
Mg (0.6409, 0.3591, 0.3591)  5 Mg 3.01-3.31, 4 Li 3.23
Mg (0.3591, 0.6409, 0.6409)  5 Mg 3.01-3.31, 4 Li 3.23
Li (0.0000, 0.5000, 0.0000)  2 Li 2.78, 4 Mg 3.03
Li (0.5000, 0.0000, 0.5000)  2 Li 2.78, 4 Mg 3.03
Li (0.5000, 0.5000, 0.0000)  2 Li 2.78, 4 Mg 3.03
Li (0.0000, 0.0000, 0.5000)  2 Li 2.78, 4 Mg 3.03
Ba (0.0000, 0.0000, 0.0000)  12 Mg 3.67-3.84, 8 Li 4.03

- DOS(E_F): 8.52 states/eV/f.u.
- Total magnetization: 0.000 μB/atom
- DFT formation energy: -0.051 eV per atom

---

# 6
The following is a DFT calculation (PBE) of a relaxed Ba7Li2Mg2 crystal.

Unit cell a=8.0657 b=9.5717 c=8.0657 alpha=89.99 beta=115.36 gamma=90.01
With the nearest neighbours (Å) after each atom.
Fractional positions:
Mg (0.7035, 0.0000, 0.2965)  7 Ba 3.62-4.04
Mg (0.2965, 0.0000, 0.7035)  7 Ba 3.62-4.04
Ba (0.5000, 0.7036, 0.0000)  2 Mg 3.62, 3 Ba 3.90-4.05, 2 Li 4.00-4.01
Ba (0.5000, 0.2964, 0.0000)  2 Mg 3.62, 3 Ba 3.90-4.05, 2 Li 4.00-4.01
Ba (0.5000, 0.7430, 0.5000)  2 Mg 3.71, 2 Li 3.75, 4 Ba 4.05
Ba (0.5000, 0.2570, 0.5000)  2 Mg 3.71, 2 Li 3.75, 4 Ba 4.05
Ba (0.0000, 0.0000, 0.0000)  2 Mg 4.04
Ba (0.0000, 0.7036, 0.5000)  2 Mg 3.62, 3 Ba 3.90-4.05, 2 Li 4.00-4.01
Ba (0.0000, 0.2964, 0.5000)  2 Mg 3.62, 3 Ba 3.90-4.05, 2 Li 4.00-4.01
Li (0.8417, 0.5000, 0.8417)  1 Li 2.73
Li (0.1583, 0.5000, 0.1583)  1 Li 2.73

- DOS(E_F): 14.59 states/eV/f.u.
- Total magnetization: 0.000 μB/atom
- DFT formation energy: 0.145 eV per atom

---

- Look up the DOS(E_F) of the third one.
  7.61 states/eV/f.u.